[1]
Density functional theory data (PBE) for an optimized crystal structure of Pm2PuMg.

Computed properties:
space group	Fm-3m
ΔE_f	148	meV/atom
total DFT energy (no corrections)	-6.209	eV per atom
distance to the lowest polymorph of the same formula	0.34	eV per formula unit

Cell: 5.5473 5.5473 5.5473 Å, 60.00 60.00 60.00°
With the nearest neighbours (Å) after each atom.
Positions (direct):
Pu: 0.0000 0.0000 0.0000  8 Pm 3.40
Mg: 0.5000 0.5000 0.5000  8 Pm 3.40
Pm: 0.2500 0.2500 0.2500  4 Mg 3.40, 4 Pu 3.40
Pm: 0.7500 0.7500 0.7500  4 Mg 3.40, 4 Pu 3.40

---

[2]
Density functional theory data (PBE) for an optimized crystal structure of KAl2Pt.

Computed properties:
space group	P4/mmm
ΔE_f	-276	meV/atom
total DFT energy (no corrections)	-3.932	eV per atom

Cell: 3.2093 3.2094 8.4318 Å, 90.00 90.00 89.99°
With the nearest neighbours (Å) after each atom.
Positions (direct):
Al: 0.0000 0.0000 0.5796  4 Pt 2.69, 1 Al 2.87
K: 0.5000 0.5000 0.2500  4 K 3.21, 8 Al 3.59
Pt: 0.5000 0.5000 0.7500  8 Al 2.69
Al: 0.0000 0.0000 0.9204  4 Pt 2.69, 1 Al 2.87

---

[3]
Density functional theory data (PBE) for an optimized crystal structure of LaCeHgRh.

Computed properties:
space group	F-43m
ΔE_f	-437	meV/atom
total DFT energy (no corrections)	-5.066	eV per atom
distance to the lowest polymorph of the same formula	0.42	eV per formula unit

Cell: 5.2421 5.2421 5.2421 Å, 60.00 60.00 60.00°
With the nearest neighbours (Å) after each atom.
Positions (direct):
La: 0.0000 0.0000 0.0000  4 Hg 3.21, 4 Rh 3.21
Rh: 0.2500 0.2500 0.2500  4 Ce 3.21, 4 La 3.21
Hg: 0.7500 0.7500 0.7500  4 La 3.21, 4 Ce 3.21
Ce: 0.5000 0.5000 0.5000  4 Rh 3.21, 4 Hg 3.21

---

[4]
Density functional theory data (PBE) for an optimized crystal structure of BAsRhSe2.

Computed properties:
space group	P4/mmm
formation energy from raw total energies	6.15	eV per formula unit
total DFT energy (no corrections)	-3.899	eV per atom
distance to the lowest polymorph of the same formula	2.24	eV per formula unit

Cell: 5.0653 5.0653 4.5531 Å, 90.00 90.00 90.00°
With the nearest neighbours (Å) after each atom.
Positions (direct):
Se: 0.0000 0.5000 0.0000  2 Rh 2.53
Rh: 0.0000 0.0000 0.0000  2 As 2.28, 4 Se 2.53
B: 0.5000 0.5000 0.5000  8 Se 3.41, 4 As 3.58
As: 0.0000 0.0000 0.5000  2 Rh 2.28
Se: 0.5000 0.0000 0.0000  2 Rh 2.53

---

[5]
Density functional theory data (PBE) for an optimized crystal structure of SrTbCu2.

Computed properties:
space group	P4/mmm
ΔE_f	-47	meV/atom
total DFT energy (no corrections)	-3.673	eV per atom
distance to the lowest polymorph of the same formula	0.28	eV per formula unit

Cell: 3.5446 5.1384 5.1384 Å, 90.00 90.00 90.00°
With the nearest neighbours (Å) after each atom.
Positions (direct):
Sr: 0.5000 0.0000 0.0000  8 Cu 3.12
Tb: 0.5000 0.5000 0.5000  8 Cu 3.12
Cu: 0.0000 0.5000 0.0000  4 Tb 3.12, 4 Sr 3.12
Cu: 0.0000 0.0000 0.5000  4 Tb 3.12, 4 Sr 3.12

---

[6]
Density functional theory data (PBE) for an optimized crystal structure of Ho4AlCu3.

Computed properties:
space group	Pmmm
ΔE_f	-283	meV/atom
total DFT energy (no corrections)	-4.576	eV per atom
distance to the lowest polymorph of the same formula	0.00	eV per formula unit

Cell: 3.4769 4.9626 9.8643 Å, 90.00 90.00 90.00°
With the nearest neighbours (Å) after each atom.
Positions (direct):
Cu: 0.5000 0.0000 0.7573  8 Ho 2.96-3.08
Al: 0.5000 0.5000 0.0000  8 Ho 3.03-3.08
Cu: 0.5000 0.0000 0.2427  8 Ho 2.96-3.08
Cu: 0.5000 0.5000 0.5000  8 Ho 2.95-3.03
Ho: 0.0000 0.5000 0.7418  6 Cu 2.95-3.03, 2 Al 3.08
Ho: 0.0000 0.0000 0.5000  8 Cu 3.03-3.08
Ho: 0.0000 0.0000 0.0000  4 Cu 2.96, 4 Al 3.03
Ho: 0.0000 0.5000 0.2582  6 Cu 2.95-3.03, 2 Al 3.08

---

[7]
Density functional theory data (PBE) for an optimized crystal structure of NdCu2GeH.

Computed properties:
space group	Cmcm
total DFT energy (no corrections)	-4.578	eV per atom

Cell: 4.1533 5.7413 6.7735 Å, 90.00 90.00 111.20°
With the nearest neighbours (Å) after each atom.
Positions (direct):
Cu: 0.1563 0.3125 0.5617  1 H 1.72
Ge: 0.2869 0.5738 0.2500  6 Cu 2.51-2.53
Cu: 0.1563 0.3125 0.9383  1 H 1.72
H: 0.0000 0.0000 0.0000  2 Cu 1.72
Cu: 0.8437 0.6875 0.0617  1 H 1.72
Nd: 0.5714 0.1428 0.2500  4 H 2.79, 3 Ge 3.05-3.10, 4 Cu 3.10
Nd: 0.4286 0.8572 0.7500  4 H 2.79, 3 Ge 3.05-3.10, 4 Cu 3.10
Cu: 0.8437 0.6875 0.4383  1 H 1.72
Ge: 0.7131 0.4262 0.7500  6 Cu 2.51-2.53
H: 0.0000 0.0000 0.5000  2 Cu 1.72

---

[8]
Density functional theory data (PBE) for an optimized crystal structure of Li3VCu.

Computed properties:
space group	Pm-3m
ΔE_f	1172	meV/atom
total DFT energy (no corrections)	-2.619	eV per atom
distance to the lowest polymorph of the same formula	2.41	eV per formula unit

Cell: 4.8321 4.8321 4.8321 Å, 90.00 90.00 90.00°
With the nearest neighbours (Å) after each atom.
Positions (direct):
Li: 0.0000 0.0000 0.5000  2 V 2.42
Li: 0.0000 0.5000 0.0000  2 V 2.42
V: 0.0000 0.0000 0.0000  6 Li 2.42
Li: 0.5000 0.0000 0.0000  2 V 2.42
Cu: 0.5000 0.5000 0.5000  12 Li 3.42